Record 1
A plane-wave DFT calculation with PBE was carried out for a geometry-optimized KAl2Hg2 structure.

extended XYZ file:
```
5
Lattice="4.5128 0.0000 0.0000 0.0000 4.5128 0.0000 2.2564 2.2564 6.2164" Properties=species:S:1:pos:R:3 pbc="T T T"
Al 2.2564 4.5128 3.1082
Al 4.5128 2.2564 3.1082
Hg 4.5128 4.5128 4.7219
Hg 2.2564 2.2564 1.4945
K 0.0000 0.0000 0.0000
```

Values from the calculation:
Total moment ... 0.000 μB/atom
Total energy ... -9.30 eV for the cell shown
Energy of formation ... -0.022 eV per atom
Space group ... I4/mmm (139)



Record 2
A plane-wave DFT calculation with PBE was carried out for a geometry-optimized ZnIrSeN2 structure.

extended XYZ file:
```
5
Lattice="3.7054 0.0000 0.0000 0.0000 3.7054 0.0000 0.0000 0.0000 5.9841" Properties=species:S:1:pos:R:3 pbc="T T T"
N 0.0000 1.8527 0.0000
N 1.8527 0.0000 0.0000
Se 0.0000 0.0000 2.9920
Ir 1.8527 1.8527 2.9920
Zn 0.0000 0.0000 0.0000
```

Values from the calculation:
Total moment ... 0.643 μB/atom
Total energy ... -20.91 eV for the cell shown
Space group ... P4/mmm (123)
Uncorrected formation energy ... 1872 meV per atom



Record 3
A plane-wave DFT calculation with PBE was carried out for a geometry-optimized Rb2MgCuH6 structure.

extended XYZ file:
```
10
Lattice="5.4665 -0.0004 0.0004 -0.0005 5.4668 0.0003 2.7334 2.7335 4.8403" Properties=species:S:1:pos:R:3 pbc="T T T"
H 2.7332 2.7333 2.9786
H 1.5642 1.5644 0.0003
H 1.5643 3.9020 0.0003
H 5.4663 5.4665 1.8624
H 6.6353 6.6354 4.8406
H 3.9018 1.5643 0.0004
Rb 5.4665 2.7332 2.4204
Rb 2.7330 5.4667 2.4205
Mg 0.0000 0.0000 0.0000
Cu 2.7330 2.7332 0.0004
```

Values from the calculation:
Total moment ... 0.010 μB/atom
Total energy ... -28.28 eV for the cell shown
Space group ... I4/mmm (139)



Record 4
A plane-wave DFT calculation with PBE was carried out for a geometry-optimized NaTi2Fe structure.

extended XYZ file:
```
8
Lattice="-3.5849 -4.3422 1.8987 4.5771 -2.5550 2.7988 -0.7945 -0.1390 7.4807" Properties=species:S:1:pos:R:3 pbc="T T T"
Ti -2.7627 -4.1528 3.8811
Ti -3.1613 -4.2226 7.6213
Ti -1.3673 -2.0524 6.6729
Ti -0.4753 -5.4318 5.2811
Na 2.1394 -3.0713 6.3141
Na 0.4961 -3.4486 2.3488
Fe -1.9416 -3.9649 5.8641
Fe 0.0000 0.0000 0.0000
```

Values from the calculation:
Total moment ... 0.000 μB/atom
Total energy ... -42.27 eV for the cell shown
Energy of formation ... 1.109 eV per atom
Space group ... I4_1/amd (141)



- total moment of number 1 (KAl2Hg2)?
  0.000 μB/atom